# RuPt

An optimized crystal structure of RuPt (PBE, Alexandria).

## Properties
As for the total energy: -6.521 eV/atom.

```
data_RuPt
_cell_length_a 5.6043
_cell_length_b 5.6043
_cell_length_c 5.6043
_cell_angle_alpha 90.00
_cell_angle_beta 90.00
_cell_angle_gamma 90.00
_space_group_name_H-M_alt 'F -4 3 m'
_space_group_IT_number 216
_space_group_name_Hall 'F -4 2 3'
loop_
_atom_site_label
_atom_site_type_symbol
_atom_site_fract_x
_atom_site_fract_y
_atom_site_fract_z
_atom_site_occupancy
Ru1 Ru 0.0000 0.0000 0.0000 1
Pt1 Pt 0.2500 0.2500 0.2500 1
```

=====

# Er2TlPb2

An optimized crystal structure of Er2TlPb2 (PBE, Alexandria).

## Properties
For the energy above the most stable polymorph in this dataset, the calculation gives 0 meV per atom.

```
data_Er2TlPb2
_cell_length_a 11.9096
_cell_length_b 4.6674
_cell_length_c 10.3604
_cell_angle_alpha 90.00
_cell_angle_beta 101.96
_cell_angle_gamma 90.00
_space_group_name_H-M_alt 'C 1 2/m 1'
_space_group_IT_number 12
loop_
_space_group_symop_operation_xyz
'x,y,z'
'-x,-y,-z'
'-x,y,-z'
'x,-y,z'
'x+1/2,y+1/2,z'
'-x+1/2,-y+1/2,-z'
'-x+1/2,y+1/2,-z'
'x+1/2,-y+1/2,z'
loop_
_atom_site_label
_atom_site_type_symbol
_atom_site_fract_x
_atom_site_fract_y
_atom_site_fract_z
_atom_site_occupancy
Er1 Er 0.0518 0.0000 0.3516 1
Er2 Er 0.1518 0.0000 0.0513 1
Tl1 Tl 0.2402 0.5000 0.2530 1
Pb1 Pb 0.0494 0.5000 0.8564 1
Pb2 Pb 0.1417 0.5000 0.5648 1
```